First-principles (GGA-PBEsol) data for a relaxed FeIrRh2 crystal, as listed in Alexandria via LeMat-Bulk.

Total magnetic moment, μB/f.u.: 2.2
Space-group type: P4mm, No. 99
Energy relative to the elements, eV/f.u.: -0.1
Density of states at the Fermi level, states/eV/cell: 4.74

```
data_FeIrRh2
_cell_length_a 2.6643
_cell_length_b 2.6643
_cell_length_c 7.3271
_cell_angle_alpha 90.00
_cell_angle_beta 90.00
_cell_angle_gamma 90.00
_symmetry_space_group_name_H-M 'P 1'
_symmetry_Int_Tables_number 1
loop_
_symmetry_equiv_pos_as_xyz
'x,y,z'
loop_
_atom_site_label
_atom_site_fract_x
_atom_site_fract_y
_atom_site_fract_z
Ir1 0.5000 0.5000 0.7393
Rh1 0.5000 0.5000 0.2611
Fe1 0.0000 0.0000 0.4999
Rh2 0.0000 0.0000 0.9997
```

=====

First-principles (GGA-PBEsol) data for a relaxed FeIr2Rh crystal, as listed in Alexandria via LeMat-Bulk.

Total magnetic moment, μB/f.u.: 2.3
Space-group type: Pmm2, No. 25
Energy relative to the elements, eV/f.u.: -0.1
Density of states at the Fermi level, states/eV/cell: 4.79

```
data_FeIr2Rh
_cell_length_a 2.6749
_cell_length_b 3.7367
_cell_length_c 5.2974
_cell_angle_alpha 90.00
_cell_angle_beta 90.00
_cell_angle_gamma 90.00
_symmetry_space_group_name_H-M 'P 1'
_symmetry_Int_Tables_number 1
loop_
_symmetry_equiv_pos_as_xyz
'x,y,z'
loop_
_atom_site_label
_atom_site_fract_x
_atom_site_fract_y
_atom_site_fract_z
Ir1 0.0000 0.5000 0.2488
Fe1 0.0000 0.5000 0.7502
Rh1 0.5000 0.0000 0.5057
Ir2 0.5000 0.0000 0.9952
```

=====

First-principles (GGA-PBEsol) data for a relaxed FeIr2Rh crystal, as listed in Alexandria via LeMat-Bulk.

Total magnetic moment, μB/f.u.: 2.5
Space-group type: P4mm, No. 99
Energy relative to the elements, eV/f.u.: 0.0
Density of states at the Fermi level, states/eV/cell: 4.10

```
data_FeIr2Rh
_cell_length_a 2.6803
_cell_length_b 2.6803
_cell_length_c 7.3722
_cell_angle_alpha 90.00
_cell_angle_beta 90.00
_cell_angle_gamma 90.00
_symmetry_space_group_name_H-M 'P 1'
_symmetry_Int_Tables_number 1
loop_
_symmetry_equiv_pos_as_xyz
'x,y,z'
loop_
_atom_site_label
_atom_site_fract_x
_atom_site_fract_y
_atom_site_fract_z
Rh1 0.0000 0.0000 0.5094
Fe1 0.5000 0.5000 0.7498
Ir1 0.5000 0.5000 0.2501
Ir2 0.0000 0.0000 0.9907
```

=====

First-principles (GGA-PBEsol) data for a relaxed FeIrRh2 crystal, as listed in Alexandria via LeMat-Bulk.

Total magnetic moment, μB/f.u.: 2.9
Space-group type: I4/mmm, No. 139
Energy relative to the elements, eV/f.u.: -0.1
Density of states at the Fermi level, states/eV/cell: 4.31

```
data_FeIrRh2
_cell_length_a 3.7349
_cell_length_b 3.7349
_cell_length_c 4.5917
_cell_angle_alpha 114.00
_cell_angle_beta 114.00
_cell_angle_gamma 90.00
_symmetry_space_group_name_H-M 'P 1'
_symmetry_Int_Tables_number 1
loop_
_symmetry_equiv_pos_as_xyz
'x,y,z'
loop_
_atom_site_label
_atom_site_fract_x
_atom_site_fract_y
_atom_site_fract_z
Fe1 0.0000 0.0000 0.0000
Rh1 0.7500 0.2500 0.5000
Rh2 0.2500 0.7500 0.5000
Ir1 0.5000 0.5000 0.0000
```